# 1
A plane-wave DFT calculation with GGA-PBE was carried out for a geometry-optimized CaHfAs2Se structure.

Geometry as POSCAR:
```
CaHfAs2Se
1.0
5.1655 0.0000 0.0000
0.0000 5.1655 0.0000
0.0000 0.0000 5.1716
As Hf Ca Se
2 1 1 1
Direct
0.0000 0.5000 0.0000
0.5000 0.0000 0.0000
0.0000 0.0000 0.0000
0.5000 0.5000 0.5000
0.0000 0.0000 0.5000
```

Calculated values
* symmetry: P4/mmm
* energy above the most stable polymorph in this dataset: 0.000 eV/atom
* total magnetic moment: 0.000 Bohr magnetons per cell
* calculated total energy: -5.582 eV/atom
* formation energy without anion corrections: -0.634 eV/atom

***

# 2
A plane-wave DFT calculation with GGA-PBE was carried out for a geometry-optimized CaHfAs2Se structure.

Geometry as POSCAR:
```
CaHfAs2Se
1.0
-1.6505 -3.2932 -3.5693
4.0520 -3.0119 0.9053
-2.7009 -2.5508 3.6024
As Hf Ca Se
2 1 1 1
Direct
0.0000 0.5000 0.0000
0.5000 0.0000 0.0000
0.5000 0.5000 0.5000
0.0000 0.0000 0.0000
0.0000 0.0000 0.5000
```

Calculated values
* symmetry: P4/mmm
* energy above the most stable polymorph in this dataset: 1.297 eV/atom
* total magnetic moment: 0.000 Bohr magnetons per cell
* calculated total energy: -4.286 eV/atom
* formation energy without anion corrections: 0.662 eV/atom

***

# 3
A plane-wave DFT calculation with GGA-PBE was carried out for a geometry-optimized SrCaHf2As structure.

Geometry as POSCAR:
```
SrCaHf2As
1.0
5.2884 0.0000 0.0000
0.0000 5.6024 0.0000
0.0000 0.0000 5.2884
Sr As Hf Ca
1 1 2 1
Direct
0.0000 0.0000 0.0000
0.0000 0.5000 0.0000
0.0000 0.0000 0.5000
0.5000 0.0000 0.0000
0.5000 0.5000 0.5000
```

Calculated values
* symmetry: P4/mmm
* total magnetic moment: 0.368 Bohr magnetons per cell
* calculated total energy: -4.281 eV/atom
* formation energy from the elements: 1.367 eV/atom

***

# 4
A plane-wave DFT calculation with GGA-PBE was carried out for a geometry-optimized Ca2HfTaAs structure.

Geometry as POSCAR:
```
Ca2HfTaAs
1.0
5.5479 0.0000 0.0000
0.0000 5.0177 0.0000
0.0000 0.0000 5.5479
As Hf Ca Ta
1 1 2 1
Direct
0.5000 0.5000 0.5000
0.0000 0.5000 0.0000
0.0000 0.0000 0.5000
0.5000 0.0000 0.0000
0.0000 0.0000 0.0000
```

Calculated values
* symmetry: P4/mmm
* total magnetic moment: 0.000 Bohr magnetons per cell
* calculated total energy: -5.079 eV/atom
* formation energy from the elements: 1.013 eV/atom

***

Which value of total magnetic moment does entry 2 give? 0.000 Bohr magnetons per cell